No. 1
Computed, not measured: a geometry-optimized AcEuSiGe structure at the PBE level of DFT.

Cell lengths 5.3614, 5.3614, 5.3614 Å; angles 60.00, 60.00, 60.00 degrees
Fractional positions:
Ac1 0.0000 0.0000 0.0000
Eu1 0.5000 0.5000 0.5000
Si1 0.7500 0.7500 0.7500
Ge1 0.2500 0.2500 0.2500

Results
Crystal system: cubic
Final energy in eV/cell: -26.08
Magnetic moment in μB per formula unit: 7.06

No. 2
Computed, not measured: a geometry-optimized ZnInMo2 structure at the PBE level of DFT.

Cell lengths 3.8912, 3.8912, 4.4196 Å; angles 90.00, 90.00, 90.00 degrees
Fractional positions:
Zn1 0.0000 0.0000 0.0000
In1 0.5000 0.5000 0.0000
Mo1 0.0000 0.5000 0.5000
Mo2 0.5000 0.0000 0.5000

Results
Crystal system: tetragonal
Calculated formation energy in eV per atom: 0.325
Magnetic moment in μB per formula unit: 0.00

No. 3
Computed, not measured: a geometry-optimized MgTe2NF structure at the PBE level of DFT.

Cell lengths 5.3841, 5.3841, 3.8155 Å; angles 90.00, 90.00, 90.00 degrees
Fractional positions:
Mg1 0.0000 0.0000 0.0000
Te1 0.0000 0.5000 0.0000
Te2 0.5000 0.0000 0.0000
N1 0.0000 0.0000 0.5000
F1 0.5000 0.5000 0.5000

Results
Crystal system: tetragonal
Final energy in eV/cell: -15.30
Magnetic moment in μB per formula unit: 0.00

No. 4
Computed, not measured: a geometry-optimized Ac2InCu6Ni structure at the PBE level of DFT.

Cell lengths 6.7092, 6.7092, 6.7102 Å; angles 119.95, 119.95, 90.00 degrees
Fractional positions:
Ac1 0.2501 0.7499 0.0000
Ac2 0.7499 0.2501 0.0000
In1 0.0000 0.0000 0.5000
Cu1 0.2641 0.2641 0.0288
Cu2 0.2641 0.2641 0.4998
Cu3 0.2643 0.7357 0.5000
Cu4 0.7357 0.2643 0.5000
Cu5 0.7359 0.7359 0.5002
Cu6 0.7359 0.7359 0.9712
Ni1 0.5000 0.5000 0.5000

Results
Crystal system: monoclinic
Calculated formation energy in eV per atom: 0.103
Magnetic moment in μB per formula unit: 0.00

No. 5
Computed, not measured: a geometry-optimized YGa2CuAu4 structure at the PBE level of DFT.

Cell lengths 8.8714, 8.8714, 8.8714 Å; angles 29.35, 29.35, 29.35 degrees
Fractional positions:
Y1 0.0000 0.0000 0.0000
Ga1 0.2461 0.2461 0.2461
Ga2 0.7539 0.7539 0.7539
Cu1 0.5000 0.5000 0.5000
Au1 0.1339 0.1339 0.1339
Au2 0.3951 0.3951 0.3951
Au3 0.6049 0.6049 0.6049
Au4 0.8661 0.8661 0.8661

Results
Crystal system: trigonal
Calculated formation energy in eV per atom: -0.391
Magnetic moment in μB per formula unit: 0.00

No. 6
Computed, not measured: a geometry-optimized PmBeAu4 structure at the PBE level of DFT.

Cell lengths 5.9645, 5.9645, 7.8530 Å; angles 108.69, 108.69, 62.52 degrees
Fractional positions:
Pm1 0.2090 0.2090 0.3012
Pm2 0.7910 0.7910 0.6988
Be1 0.4628 0.4628 0.6966
Be2 0.5372 0.5372 0.3034
Au1 0.1448 0.6622 0.0917
Au2 0.2373 0.7627 0.5000
Au3 0.2542 0.2542 0.7314
Au4 0.3378 0.8552 0.9083
Au5 0.6622 0.1448 0.0917
Au6 0.7458 0.7458 0.2686
Au7 0.7627 0.2373 0.5000
Au8 0.8552 0.3378 0.9083

Results
Crystal system: monoclinic
Calculated formation energy in eV per atom: -0.465
Magnetic moment in μB per formula unit: 0.00

No. 7
Computed, not measured: a geometry-optimized Cr2Tc2Au structure at the PBE level of DFT.

Cell lengths 7.1229, 7.1229, 2.8266 Å; angles 90.00, 90.00, 90.00 degrees
Fractional positions:
Cr1 0.1372 0.3628 0.0000
Cr2 0.3628 0.8628 0.0000
Cr3 0.6372 0.1372 0.0000
Cr4 0.8628 0.6372 0.0000
Tc1 0.1577 0.6577 0.5000
Tc2 0.3423 0.1577 0.5000
Tc3 0.6577 0.8423 0.5000
Tc4 0.8423 0.3423 0.5000
Au1 0.0000 0.0000 0.0000
Au2 0.5000 0.5000 0.0000

Results
Crystal system: tetragonal
Calculated formation energy in eV per atom: 0.255
Magnetic moment in μB per formula unit: 0.01

No. 8
Computed, not measured: a geometry-optimized Er2Ga2Co5Si structure at the PBE level of DFT.

Cell lengths 9.4424, 9.4424, 3.2203 Å; angles 90.00, 90.00, 90.00 degrees
Fractional positions:
Er1 0.1720 0.3280 0.0000
Er2 0.3280 0.8280 0.0000
Er3 0.6720 0.1720 0.0000
Er4 0.8280 0.6720 0.0000
Ga1 0.1270 0.6270 0.0000
Ga2 0.3730 0.1270 0.0000
Ga3 0.6270 0.8730 0.0000
Ga4 0.8730 0.3730 0.0000
Co1 0.0000 0.5000 0.5000
Co2 0.0590 0.8075 0.5000
Co3 0.1925 0.0590 0.5000
Co4 0.3075 0.5590 0.5000
Co5 0.4410 0.3075 0.5000
Co6 0.5000 0.0000 0.5000
Co7 0.5590 0.6925 0.5000
Co8 0.6925 0.4410 0.5000
Co9 0.8075 0.9410 0.5000
Co10 0.9410 0.1925 0.5000
Si1 0.0000 0.0000 0.0000
Si2 0.5000 0.5000 0.0000

Results
Crystal system: tetragonal
Final energy in eV/cell: -117.95
Magnetic moment in μB per formula unit: 0.00

No. 9
Computed, not measured: a geometry-optimized Ba2HgBi structure at the PBE level of DFT.

Cell lengths 4.7100, 5.5061, 12.6408 Å; angles 90.00, 100.72, 90.00 degrees
Fractional positions:
Ba1 0.0531 0.2500 0.1068
Ba2 0.1869 0.7500 0.3750
Ba3 0.8131 0.2500 0.6250
Ba4 0.9469 0.7500 0.8932
Hg1 0.3321 0.7500 0.6634
Hg2 0.6679 0.2500 0.3366
Bi1 0.4249 0.2500 0.8489
Bi2 0.5751 0.7500 0.1511

Results
Crystal system: monoclinic
Calculated formation energy in eV per atom: -0.707
Magnetic moment in μB per formula unit: 0.00

No. 10
Computed, not measured: a geometry-optimized Ti2CrCuB structure at the PBE level of DFT.

Cell lengths 4.3873, 4.3873, 3.9571 Å; angles 90.00, 90.00, 90.00 degrees
Fractional positions:
Ti1 0.0000 0.5000 0.0000
Ti2 0.5000 0.0000 0.0000
Cr1 0.0000 0.0000 0.0000
Cu1 0.5000 0.5000 0.5000
B1 0.0000 0.0000 0.5000

Results
Crystal system: tetragonal
Calculated formation energy in eV per atom: 0.753
Magnetic moment in μB per formula unit: 0.00

No. 11
Computed, not measured: a geometry-optimized Tl2SiPb structure at the PBE level of DFT.

Cell lengths 3.3621, 3.3621, 9.7626 Å; angles 90.00, 90.00, 98.62 degrees
Fractional positions:
Tl1 0.0000 0.0000 0.2170
Tl2 0.0000 0.0000 0.7830
Si1 0.5000 0.5000 0.0000
Pb1 0.5000 0.5000 0.5000

Results
Crystal system: orthorhombic
Final energy in eV/cell: -12.59
Magnetic moment in μB per formula unit: 0.00

No. 12
Computed, not measured: a geometry-optimized La4Ni5 structure at the PBE level of DFT.

Cell lengths 8.4975, 8.4975, 6.2125 Å; angles 90.00, 90.00, 120.00 degrees
Fractional positions:
La1 0.0000 0.0000 0.0000
La2 0.0000 0.0000 0.5000
La3 0.0000 0.3859 0.2500
La4 0.0000 0.6141 0.7500
La5 0.3859 0.0000 0.2500
La6 0.3859 0.3859 0.7500
La7 0.6141 0.0000 0.7500
La8 0.6141 0.6141 0.2500
Ni1 0.0000 0.2890 0.7500
Ni2 0.0000 0.7110 0.2500
Ni3 0.2890 0.0000 0.7500
Ni4 0.2890 0.2890 0.2500
Ni5 0.3333 0.6667 0.0000
Ni6 0.3333 0.6667 0.5000
Ni7 0.6667 0.3333 0.0000
Ni8 0.6667 0.3333 0.5000
Ni9 0.7110 0.0000 0.2500
Ni10 0.7110 0.7110 0.7500

Results
Crystal system: hexagonal
Calculated formation energy in eV per atom: -0.083
Magnetic moment in μB per formula unit: 0.00